Material: CaTcSn2I
Method: DFT, PBEsol
State: optimized geometry

For the energy relative to the elements, uncorrected, the calculation gives 0.107 eV per atom. As for the electronic total energy: -4.630 eV/atom.

```
data_CaTcSn2I
_space_group_name_H-M_alt 'P 1'
_space_group_IT_number 1
_space_group_name_Hall 'P 1'
_cell_length_a 5.038
_cell_length_b 5.038
_cell_length_c 5.860
_cell_angle_alpha 90.00
_cell_angle_beta 90.00
_cell_angle_gamma 90.00
loop_
_atom_site_label
_atom_site_fract_x
_atom_site_fract_y
_atom_site_fract_z
_atom_site_occupancy
Ca1 0.000 0.000 0.000 1
Tc1 0.500 0.500 0.500 1
Sn1 0.000 0.500 0.500 1
Sn2 0.500 0.000 0.500 1
I1 0.500 0.500 0.000 1
```

---

Material: AlHgW2
Method: DFT, PBEsol
State: optimized geometry

For the energy of formation from the pure elements, the calculation gives 0.53 eV per atom. As for the electronic total energy: -7.543 eV/atom. For the energy relative to the lowest polymorph listed for this composition, the calculation gives 139.2 meV per atom.

```
data_AlHgW2
_space_group_name_H-M_alt 'P 1'
_space_group_IT_number 1
_space_group_name_Hall 'P 1'
_cell_length_a 5.184
_cell_length_b 5.184
_cell_length_c 5.184
_cell_angle_alpha 136.41
_cell_angle_beta 136.41
_cell_angle_gamma 63.35
loop_
_atom_site_label
_atom_site_fract_x
_atom_site_fract_y
_atom_site_fract_z
_atom_site_occupancy
Al1 0.000 0.000 0.000 1
Hg1 0.500 0.500 0.000 1
W1 0.250 0.750 0.500 1
W2 0.750 0.250 0.500 1
```

---

Material: PSeCl2F
Method: DFT, PBEsol
State: optimized geometry

For the energy relative to the elements, uncorrected, the calculation gives 0.361 eV per atom. As for the electronic total energy: -2.756 eV/atom.

```
data_PSeCl2F
_space_group_name_H-M_alt 'P 1'
_space_group_IT_number 1
_space_group_name_Hall 'P 1'
_cell_length_a 5.252
_cell_length_b 5.252
_cell_length_c 3.522
_cell_angle_alpha 90.00
_cell_angle_beta 90.00
_cell_angle_gamma 90.00
loop_
_atom_site_label
_atom_site_fract_x
_atom_site_fract_y
_atom_site_fract_z
_atom_site_occupancy
P1 0.000 0.000 0.000 1
Se1 0.500 0.500 0.000 1
Cl1 0.000 0.500 0.500 1
Cl2 0.500 0.000 0.500 1
F1 0.000 0.000 0.500 1
```

---

Material: Ba2YV3O8
Method: DFT, PBEsol
State: optimized geometry

For the energy relative to the elements, uncorrected, the calculation gives -2.711 eV per atom. As for the electronic total energy: -8.569 eV/atom.

```
data_Ba2YV3O8
_space_group_name_H-M_alt 'P 1'
_space_group_IT_number 1
_space_group_name_Hall 'P 1'
_cell_length_a 3.882
_cell_length_b 3.882
_cell_length_c 11.198
_cell_angle_alpha 90.00
_cell_angle_beta 90.00
_cell_angle_gamma 90.00
loop_
_atom_site_label
_atom_site_fract_x
_atom_site_fract_y
_atom_site_fract_z
_atom_site_occupancy
Ba1 0.000 0.000 0.173 1
Ba2 0.000 0.000 0.827 1
Y1 0.000 0.000 0.500 1
V1 0.500 0.500 0.000 1
V2 0.500 0.500 0.354 1
V3 0.500 0.500 0.646 1
O1 0.000 0.500 0.000 1
O2 0.000 0.500 0.371 1
O3 0.000 0.500 0.629 1
O4 0.500 0.000 0.000 1
O5 0.500 0.000 0.371 1
O6 0.500 0.000 0.629 1
O7 0.500 0.500 0.180 1
O8 0.500 0.500 0.820 1
```

---

Material: AlSeCl2
Method: DFT, PBEsol
State: optimized geometry

For the energy relative to the elements, uncorrected, the calculation gives -0.053 eV per atom. As for the electronic total energy: -3.043 eV/atom. For the energy relative to the lowest polymorph listed for this composition, the calculation gives 544.5 meV per atom.

```
data_AlSeCl2
_space_group_name_H-M_alt 'P 1'
_space_group_IT_number 1
_space_group_name_Hall 'P 1'
_cell_length_a 4.682
_cell_length_b 4.682
_cell_length_c 4.682
_cell_angle_alpha 60.00
_cell_angle_beta 60.00
_cell_angle_gamma 60.00
loop_
_atom_site_label
_atom_site_fract_x
_atom_site_fract_y
_atom_site_fract_z
_atom_site_occupancy
Al1 0.000 0.000 0.000 1
Se1 0.250 0.250 0.250 1
Cl1 0.500 0.500 0.500 1
Cl2 0.750 0.750 0.750 1
```

---

Material: Zn3Au
Method: DFT, PBEsol
State: optimized geometry

For the energy of formation from the pure elements, the calculation gives -0.13 eV per atom. As for the electronic total energy: -2.294 eV/atom.

```
data_Zn3Au
_space_group_name_H-M_alt 'P 1'
_space_group_IT_number 1
_space_group_name_Hall 'P 1'
_cell_length_a 4.921
_cell_length_b 4.921
_cell_length_c 4.921
_cell_angle_alpha 90.00
_cell_angle_beta 90.00
_cell_angle_gamma 90.00
loop_
_atom_site_label
_atom_site_fract_x
_atom_site_fract_y
_atom_site_fract_z
_atom_site_occupancy
Zn1 0.000 0.250 0.500 1
Zn2 0.000 0.750 0.500 1
Zn3 0.250 0.500 0.000 1
Zn4 0.500 0.000 0.250 1
Zn5 0.500 0.000 0.750 1
Zn6 0.750 0.500 0.000 1
Au1 0.000 0.000 0.000 1
Au2 0.500 0.500 0.500 1
```

---

Material: ScMnSi2
Method: DFT, PBEsol
State: optimized geometry

For the energy relative to the elements, uncorrected, the calculation gives -0.359 eV per atom. As for the electronic total energy: -7.324 eV/atom.

```
data_ScMnSi2
_space_group_name_H-M_alt 'P 1'
_space_group_IT_number 1
_space_group_name_Hall 'P 1'
_cell_length_a 4.981
_cell_length_b 4.981
_cell_length_c 4.981
_cell_angle_alpha 136.21
_cell_angle_beta 136.21
_cell_angle_gamma 63.66
loop_
_atom_site_label
_atom_site_fract_x
_atom_site_fract_y
_atom_site_fract_z
_atom_site_occupancy
Sc1 0.000 0.000 0.000 1
Mn1 0.250 0.750 0.500 1
Si1 0.500 0.500 0.000 1
Si2 0.750 0.250 0.500 1
```

---

Material: ThNiSn
Method: DFT, PBEsol
State: optimized geometry

For the energy of formation from the pure elements, the calculation gives -0.70 eV per atom. As for the electronic total energy: -6.874 eV/atom.

```
data_ThNiSn
_space_group_name_H-M_alt 'P 1'
_space_group_IT_number 1
_space_group_name_Hall 'P 1'
_cell_length_a 4.594
_cell_length_b 4.594
_cell_length_c 4.594
_cell_angle_alpha 60.00
_cell_angle_beta 60.00
_cell_angle_gamma 60.00
loop_
_atom_site_label
_atom_site_fract_x
_atom_site_fract_y
_atom_site_fract_z
_atom_site_occupancy
Th1 0.000 0.000 0.000 1
Ni1 0.750 0.750 0.750 1
Sn1 0.500 0.500 0.500 1
```

---

Material: Na3CdSi
Method: DFT, PBEsol
State: optimized geometry

For the energy relative to the elements, uncorrected, the calculation gives 0.662 eV per atom. As for the electronic total energy: -1.566 eV/atom.

```
data_Na3CdSi
_space_group_name_H-M_alt 'P 1'
_space_group_IT_number 1
_space_group_name_Hall 'P 1'
_cell_length_a 5.466
_cell_length_b 5.466
_cell_length_c 5.466
_cell_angle_alpha 90.00
_cell_angle_beta 90.00
_cell_angle_gamma 90.00
loop_
_atom_site_label
_atom_site_fract_x
_atom_site_fract_y
_atom_site_fract_z
_atom_site_occupancy
Na1 0.000 0.000 0.500 1
Na2 0.000 0.500 0.000 1
Na3 0.500 0.000 0.000 1
Cd1 0.000 0.000 0.000 1
Si1 0.500 0.500 0.500 1
```

---

Material: LaGa2MoPb
Method: DFT, PBEsol
State: optimized geometry

For the energy of formation from the pure elements, the calculation gives 1.30 eV per atom. As for the electronic total energy: -4.259 eV/atom.

```
data_LaGa2MoPb
_space_group_name_H-M_alt 'P 1'
_space_group_IT_number 1
_space_group_name_Hall 'P 1'
_cell_length_a 5.534
_cell_length_b 5.534
_cell_length_c 4.803
_cell_angle_alpha 90.00
_cell_angle_beta 90.00
_cell_angle_gamma 90.00
loop_
_atom_site_label
_atom_site_fract_x
_atom_site_fract_y
_atom_site_fract_z
_atom_site_occupancy
La1 0.000 0.000 0.000 1
Ga1 0.000 0.500 0.000 1
Ga2 0.500 0.000 0.000 1
Mo1 0.000 0.000 0.500 1
Pb1 0.500 0.500 0.500 1
```

---

Material: GeP2HO
Method: DFT, PBEsol
State: optimized geometry

As for the electronic total energy: -4.108 eV/atom.

```
data_GeP2HO
_space_group_name_H-M_alt 'P 1'
_space_group_IT_number 1
_space_group_name_Hall 'P 1'
_cell_length_a 4.789
_cell_length_b 4.789
_cell_length_c 3.518
_cell_angle_alpha 90.00
_cell_angle_beta 90.00
_cell_angle_gamma 90.00
loop_
_atom_site_label
_atom_site_fract_x
_atom_site_fract_y
_atom_site_fract_z
_atom_site_occupancy
Ge1 0.000 0.000 0.000 1
P1 0.000 0.500 0.000 1
P2 0.500 0.000 0.000 1
H1 0.500 0.500 0.500 1
O1 0.000 0.000 0.500 1
```

---

Material: ZnMo3
Method: DFT, PBEsol
State: optimized geometry

For the energy of formation from the pure elements, the calculation gives 0.34 eV per atom. As for the electronic total energy: -8.886 eV/atom. For the energy relative to the lowest polymorph listed for this composition, the calculation gives 304.0 meV per atom.

```
data_ZnMo3
_space_group_name_H-M_alt 'P 1'
_space_group_IT_number 1
_space_group_name_Hall 'P 1'
_cell_length_a 9.468
_cell_length_b 9.468
_cell_length_c 9.468
_cell_angle_alpha 16.62
_cell_angle_beta 16.62
_cell_angle_gamma 16.62
loop_
_atom_site_label
_atom_site_fract_x
_atom_site_fract_y
_atom_site_fract_z
_atom_site_occupancy
Zn1 0.000 0.000 0.000 1
Mo1 0.251 0.251 0.251 1
Mo2 0.500 0.500 0.500 1
Mo3 0.749 0.749 0.749 1
```

---

Material: La2YTl
Method: DFT, PBEsol
State: optimized geometry

For the energy of formation from the pure elements, the calculation gives -0.22 eV per atom. As for the electronic total energy: -5.258 eV/atom. For the energy relative to the lowest polymorph listed for this composition, the calculation gives 32.8 meV per atom.

```
data_La2YTl
_space_group_name_H-M_alt 'P 1'
_space_group_IT_number 1
_space_group_name_Hall 'P 1'
_cell_length_a 3.674
_cell_length_b 3.674
_cell_length_c 8.962
_cell_angle_alpha 90.00
_cell_angle_beta 90.00
_cell_angle_gamma 90.00
loop_
_atom_site_label
_atom_site_fract_x
_atom_site_fract_y
_atom_site_fract_z
_atom_site_occupancy
La1 0.000 0.000 0.000 1
La2 0.500 0.500 0.279 1
Y1 0.500 0.500 0.733 1
Tl1 0.000 0.000 0.523 1
```